Entry 1:
A plane-wave DFT calculation with PBE was carried out for an optimized crystal structure of ZnFeAu2.

The calculation puts the mass density at 13.496 g cm⁻³. The calculated formation energy comes out at 0.01 eV/atom. As for the magnetic moment: 3.06 Bohr magnetons per cell.

The structure belongs to space group P2/m (No. 10); the cell edges are 2.927, 3.535 and 6.127 Å and the angles 90.00°, 90.12° and 90.00°. Symmetry generates all atoms from Zn at (0.000, 0.000, 0.000), Fe at (0.000, 0.000, 0.500) and Au at (0.499, 0.500, 0.745).

Entry 2:
A plane-wave DFT calculation with PBE was carried out for an optimized crystal structure of InTc5.

The relative energy among the computed polymorphs is 189 meV per atom. The calculation puts the mass density at 10.433 g cm⁻³. The calculated formation energy comes out at 0.33 eV/atom. As for the magnetic moment: 0.00 Bohr magnetons per cell.

The structure belongs to space group F-43m (No. 216); the cell edges are 7.275, 7.275 and 7.275 Å and the angles 90.00°, 90.00° and 90.00°. Symmetry generates all atoms from In at (0.000, 0.000, 0.000), Tc at (0.126, 0.126, 0.374) and Tc at (0.250, 0.250, 0.750).

Entry 3:
A plane-wave DFT calculation with PBE was carried out for an optimized crystal structure of TiCrAg2.

The relative energy among the computed polymorphs is 196 meV per atom. The calculation puts the mass density at 7.572 g cm⁻³. The calculated formation energy comes out at 0.81 eV/atom. As for the magnetic moment: 0.00 Bohr magnetons per cell.

The structure belongs to space group I-42d (No. 122); the cell edges are 7.354, 7.354 and 5.119 Å and the angles 90.00°, 90.00° and 90.00°. Symmetry generates all atoms from Ti at (0.000, 0.000, 0.000), Cr at (0.000, 0.000, 0.500) and Ag at (0.229, 0.250, 0.625).

Entry 4:
A plane-wave DFT calculation with PBE was carried out for an optimized crystal structure of TbPu2Th.

The relative energy among the computed polymorphs is 65 meV per atom. The calculation puts the mass density at 12.405 g cm⁻³. The calculated formation energy comes out at 0.24 eV/atom. As for the magnetic moment: 53.81 Bohr magnetons per cell.

The structure belongs to space group Fm-3m (No. 225); the cell edges are 7.778, 7.778 and 7.778 Å and the angles 90.00°, 90.00° and 90.00°. Symmetry generates all atoms from Tb at (0.000, 0.000, 0.000), Pu at (0.250, 0.250, 0.250) and Th at (0.000, 0.000, 0.500).